# KNi2Rh (PBE, optimized geometry)
# energy of formation from the pure elements = 0.981 eV per atom
# total DFT energy (no corrections) = -4.02 eV per atom
# total magnetization = 1.733 μB/cell
# excess energy over the best structure of this formula in the dataset = 0.505 eV/atom
data_KNi2Rh
_chemical_formula_sum 'K1 Ni2 Rh1'
_space_group_name_H-M_alt 'P m m m'
_space_group_IT_number 47
_space_group_name_Hall '-P 2 2'
_cell_length_a 2.6970
_cell_length_b 4.7698
_cell_length_c 4.9880
_cell_angle_alpha 90.00
_cell_angle_beta 90.00
_cell_angle_gamma 90.00
loop_
_atom_site_label
_atom_site_type_symbol
_atom_site_fract_x
_atom_site_fract_y
_atom_site_fract_z
K1 K 0.0000 0.0000 0.0000
Ni1 Ni 0.0000 0.5000 0.5000
Ni2 Ni 0.5000 0.5000 0.0000
Rh1 Rh 0.5000 0.0000 0.5000

# KNi2Rh (PBE, optimized geometry)
# energy of formation from the pure elements = 0.526 eV per atom
# total DFT energy (no corrections) = -4.48 eV per atom
# total magnetization = 3.251 μB/cell
# excess energy over the best structure of this formula in the dataset = 0.050 eV/atom
data_KNi2Rh
_chemical_formula_sum 'K2 Ni4 Rh2'
_space_group_name_H-M_alt 'C 1 m 1'
_space_group_IT_number 8
_space_group_name_Hall 'C -2y'
_cell_length_a 8.3403
_cell_length_b 2.7183
_cell_length_c 6.7228
_cell_angle_alpha 90.00
_cell_angle_beta 96.21
_cell_angle_gamma 90.00
loop_
_atom_site_label
_atom_site_type_symbol
_atom_site_fract_x
_atom_site_fract_y
_atom_site_fract_z
K1 K 0.0000 0.0000 0.0000
Ni1 Ni 0.2713 0.5000 0.3465
Ni2 Ni 0.4950 0.0000 0.4931
Rh1 Rh 0.2278 0.0000 0.6388

# KNiRh2 (PBE, optimized geometry)
# energy of formation from the pure elements = 0.581 eV per atom
# total DFT energy (no corrections) = -4.81 eV per atom
# total magnetization = 2.726 μB/cell
# excess energy over the best structure of this formula in the dataset = 0.123 eV/atom
data_KNiRh2
_chemical_formula_sum 'K2 Ni2 Rh4'
_space_group_name_H-M_alt 'I m m m'
_space_group_IT_number 71
_space_group_name_Hall '-I 2 2'
_cell_length_a 2.6987
_cell_length_b 4.9075
_cell_length_c 10.1587
_cell_angle_alpha 90.00
_cell_angle_beta 90.00
_cell_angle_gamma 90.00
loop_
_atom_site_label
_atom_site_type_symbol
_atom_site_fract_x
_atom_site_fract_y
_atom_site_fract_z
K1 K 0.0000 0.0000 0.0000
Ni1 Ni 0.0000 0.0000 0.5000
Rh1 Rh 0.0000 0.5000 0.2143

# KNiRh3 (PBE, optimized geometry)
# energy of formation from the pure elements = 0.968 eV per atom
# total DFT energy (no corrections) = -4.82 eV per atom
# total magnetization = 3.598 μB/cell
# excess energy over the best structure of this formula in the dataset = 0.000 eV/atom
data_KNiRh3
_chemical_formula_sum 'K1 Ni1 Rh3'
_space_group_name_H-M_alt 'P m -3 m'
_space_group_IT_number 221
_space_group_name_Hall '-P 4 2 3'
_cell_length_a 4.6494
_cell_length_b 4.6494
_cell_length_c 4.6494
_cell_angle_alpha 90.00
_cell_angle_beta 90.00
_cell_angle_gamma 90.00
loop_
_atom_site_label
_atom_site_type_symbol
_atom_site_fract_x
_atom_site_fract_y
_atom_site_fract_z
K1 K 0.0000 0.0000 0.0000
Ni1 Ni 0.5000 0.5000 0.5000
Rh1 Rh 0.0000 0.5000 0.5000

# KNi2Rh (PBE, optimized geometry)
# energy of formation from the pure elements = 0.949 eV per atom
# total DFT energy (no corrections) = -4.05 eV per atom
# total magnetization = 6.919 μB/cell
# excess energy over the best structure of this formula in the dataset = 0.472 eV/atom
data_KNi2Rh
_chemical_formula_sum 'K4 Ni8 Rh4'
_space_group_name_H-M_alt 'F m -3 m'
_space_group_IT_number 225
_space_group_name_Hall '-F 4 2 3'
_cell_length_a 6.3601
_cell_length_b 6.3601
_cell_length_c 6.3601
_cell_angle_alpha 90.00
_cell_angle_beta 90.00
_cell_angle_gamma 90.00
loop_
_atom_site_label
_atom_site_type_symbol
_atom_site_fract_x
_atom_site_fract_y
_atom_site_fract_z
K1 K 0.0000 0.0000 0.0000
Ni1 Ni 0.2500 0.2500 0.2500
Rh1 Rh 0.0000 0.0000 0.5000

# KNiRh (PBE, optimized geometry)
# energy of formation from the pure elements = 0.769 eV per atom
# total DFT energy (no corrections) = -3.97 eV per atom
# total magnetization = 1.055 μB/cell
# excess energy over the best structure of this formula in the dataset = 0.358 eV/atom
data_KNiRh
_chemical_formula_sum 'K1 Ni1 Rh1'
_space_group_name_H-M_alt 'P 3 m 1'
_space_group_IT_number 156
_space_group_name_Hall 'P 3 -2"'
_cell_length_a 2.8584
_cell_length_b 2.8584
_cell_length_c 7.5476
_cell_angle_alpha 90.00
_cell_angle_beta 90.00
_cell_angle_gamma 120.00
loop_
_atom_site_label
_atom_site_type_symbol
_atom_site_fract_x
_atom_site_fract_y
_atom_site_fract_z
K1 K 0.0000 0.0000 0.0000
Ni1 Ni 0.6667 0.3333 0.3716
Rh1 Rh 0.3333 0.6667 0.6273

# KNi2Rh (PBE, optimized geometry)
# energy of formation from the pure elements = 0.797 eV per atom
# total DFT energy (no corrections) = -4.21 eV per atom
# total magnetization = 3.450 μB/cell
# excess energy over the best structure of this formula in the dataset = 0.321 eV/atom
data_KNi2Rh
_chemical_formula_sum 'K2 Ni4 Rh2'
_space_group_name_H-M_alt 'I m m m'
_space_group_IT_number 71
_space_group_name_Hall '-I 2 2'
_cell_length_a 2.6757
_cell_length_b 5.2782
_cell_length_c 10.0908
_cell_angle_alpha 90.00
_cell_angle_beta 90.00
_cell_angle_gamma 90.00
loop_
_atom_site_label
_atom_site_type_symbol
_atom_site_fract_x
_atom_site_fract_y
_atom_site_fract_z
K1 K 0.0000 0.0000 0.0000
Ni1 Ni 0.0000 0.5000 0.2081
Rh1 Rh 0.0000 0.0000 0.5000

# KNi2Rh (PBE, optimized geometry)
# energy of formation from the pure elements = 0.490 eV per atom
# total DFT energy (no corrections) = -4.51 eV per atom
# total magnetization = 3.519 μB/cell
# excess energy over the best structure of this formula in the dataset = 0.014 eV/atom
data_KNi2Rh
_chemical_formula_sum 'K2 Ni4 Rh2'
_space_group_name_H-M_alt 'C 1 2/m 1'
_space_group_IT_number 12
_space_group_name_Hall '-C 2y'
_cell_length_a 8.4796
_cell_length_b 2.7238
_cell_length_c 6.6171
_cell_angle_alpha 90.00
_cell_angle_beta 95.62
_cell_angle_gamma 90.00
loop_
_atom_site_label
_atom_site_type_symbol
_atom_site_fract_x
_atom_site_fract_y
_atom_site_fract_z
K1 K 0.0000 0.0000 0.0000
Ni1 Ni 0.2332 0.0000 0.6431
Rh1 Rh 0.0000 0.5000 0.5000

# KNiRh2 (PBE, optimized geometry)
# energy of formation from the pure elements = 0.880 eV per atom
# total DFT energy (no corrections) = -4.52 eV per atom
# total magnetization = 4.412 μB/cell
# excess energy over the best structure of this formula in the dataset = 0.422 eV/atom
data_KNiRh2
_chemical_formula_sum 'K4 Ni4 Rh8'
_space_group_name_H-M_alt 'I -4 2 d'
_space_group_IT_number 122
_space_group_name_Hall 'I -4 2bw'
_cell_length_a 4.7529
_cell_length_b 4.7529
_cell_length_c 16.6178
_cell_angle_alpha 90.00
_cell_angle_beta 90.00
_cell_angle_gamma 90.00
loop_
_atom_site_label
_atom_site_type_symbol
_atom_site_fract_x
_atom_site_fract_y
_atom_site_fract_z
K1 K 0.0000 0.0000 0.0000
Ni1 Ni 0.0000 0.0000 0.5000
Rh1 Rh 0.0830 0.2500 0.6250

# KNiRh (PBE, optimized geometry)
# energy of formation from the pure elements = 0.411 eV per atom
# total DFT energy (no corrections) = -4.33 eV per atom
# total magnetization = 0.029 μB/cell
# excess energy over the best structure of this formula in the dataset = 0.000 eV/atom
data_KNiRh
_chemical_formula_sum 'K2 Ni2 Rh2'
_space_group_name_H-M_alt 'I m m 2'
_space_group_IT_number 44
_space_group_name_Hall 'I 2 -2'
_cell_length_a 2.7390
_cell_length_b 3.8972
_cell_length_c 11.5675
_cell_angle_alpha 90.00
_cell_angle_beta 90.00
_cell_angle_gamma 90.00
loop_
_atom_site_label
_atom_site_type_symbol
_atom_site_fract_x
_atom_site_fract_y
_atom_site_fract_z
K1 K 0.0000 0.0000 0.0000
Ni1 Ni 0.0000 0.0000 0.7237
Rh1 Rh 0.0000 0.0000 0.2777

# KNiRh2 (PBE, optimized geometry)
# energy of formation from the pure elements = 0.545 eV per atom
# total DFT energy (no corrections) = -4.85 eV per atom
# total magnetization = 8.152 μB/cell
# excess energy over the best structure of this formula in the dataset = 0.087 eV/atom
data_KNiRh2
_chemical_formula_sum 'K3 Ni3 Rh6'
_space_group_name_H-M_alt 'R -3 m'
_space_group_IT_number 166
_space_group_name_Hall '-R 3 2"'
_cell_length_a 2.8103
_cell_length_b 2.8103
_cell_length_c 29.0151
_cell_angle_alpha 90.00
_cell_angle_beta 90.00
_cell_angle_gamma 120.00
loop_
_atom_site_label
_atom_site_type_symbol
_atom_site_fract_x
_atom_site_fract_y
_atom_site_fract_z
K1 K 0.0000 0.0000 0.0000
Ni1 Ni 0.0000 0.0000 0.5000
Rh1 Rh 0.0000 0.0000 0.2357

# KNiRh2 (PBE, optimized geometry)
# energy of formation from the pure elements = 0.980 eV per atom
# total DFT energy (no corrections) = -4.42 eV per atom
# total magnetization = 4.513 μB/cell
# excess energy over the best structure of this formula in the dataset = 0.521 eV/atom
data_KNiRh2
_chemical_formula_sum 'K2 Ni2 Rh4'
_space_group_name_H-M_alt 'I 4/m m m'
_space_group_IT_number 139
_space_group_name_Hall '-I 4 2'
_cell_length_a 4.0722
_cell_length_b 4.0722
_cell_length_c 8.0913
_cell_angle_alpha 90.00
_cell_angle_beta 90.00
_cell_angle_gamma 90.00
loop_
_atom_site_label
_atom_site_type_symbol
_atom_site_fract_x
_atom_site_fract_y
_atom_site_fract_z
K1 K 0.0000 0.0000 0.0000
Ni1 Ni 0.0000 0.0000 0.5000
Rh1 Rh 0.0000 0.5000 0.2500

# K3NiRh (PBE, optimized geometry)
# energy of formation from the pure elements = 1.042 eV per atom
# total DFT energy (no corrections) = -2.24 eV per atom
# total magnetization = 1.955 μB/cell
# excess energy over the best structure of this formula in the dataset = 0.000 eV/atom
data_K3NiRh
_chemical_formula_sum 'K3 Ni1 Rh1'
_space_group_name_H-M_alt 'P m -3 m'
_space_group_IT_number 221
_space_group_name_Hall '-P 4 2 3'
_cell_length_a 6.0328
_cell_length_b 6.0328
_cell_length_c 6.0328
_cell_angle_alpha 90.00
_cell_angle_beta 90.00
_cell_angle_gamma 90.00
loop_
_atom_site_label
_atom_site_type_symbol
_atom_site_fract_x
_atom_site_fract_y
_atom_site_fract_z
K1 K 0.0000 0.0000 0.5000
Ni1 Ni 0.5000 0.5000 0.5000
Rh1 Rh 0.0000 0.0000 0.0000

# KNiRh (PBE, optimized geometry)
# energy of formation from the pure elements = 0.933 eV per atom
# total DFT energy (no corrections) = -3.81 eV per atom
# total magnetization = 1.460 μB/cell
# excess energy over the best structure of this formula in the dataset = 0.522 eV/atom
data_KNiRh
_chemical_formula_sum 'K1 Ni1 Rh1'
_space_group_name_H-M_alt 'P -6 m 2'
_space_group_IT_number 187
_space_group_name_Hall 'P -6 2'
_cell_length_a 4.8133
_cell_length_b 4.8133
_cell_length_c 2.7604
_cell_angle_alpha 90.00
_cell_angle_beta 90.00
_cell_angle_gamma 120.00
loop_
_atom_site_label
_atom_site_type_symbol
_atom_site_fract_x
_atom_site_fract_y
_atom_site_fract_z
K1 K 0.0000 0.0000 0.0000
Ni1 Ni 0.6667 0.3333 0.5000
Rh1 Rh 0.3333 0.6667 0.5000

# KNiRh2 (PBE, optimized geometry)
# energy of formation from the pure elements = 0.485 eV per atom
# total DFT energy (no corrections) = -4.91 eV per atom
# total magnetization = 0.001 μB/cell
# excess energy over the best structure of this formula in the dataset = 0.027 eV/atom
data_KNiRh2
_chemical_formula_sum 'K2 Ni2 Rh4'
_space_group_name_H-M_alt 'C 1 m 1'
_space_group_IT_number 8
_space_group_name_Hall 'C -2y'
_cell_length_a 8.6343
_cell_length_b 2.7557
_cell_length_c 6.6961
_cell_angle_alpha 90.00
_cell_angle_beta 95.67
_cell_angle_gamma 90.00
loop_
_atom_site_label
_atom_site_type_symbol
_atom_site_fract_x
_atom_site_fract_y
_atom_site_fract_z
K1 K 0.0000 0.0000 0.0000
Ni1 Ni 0.2342 0.0000 0.6552
Rh1 Rh 0.0043 0.5000 0.5060
Rh2 Rh 0.2666 0.5000 0.3563